[1]
VASP calculation (GGA-PBE) on an optimized crystal structure of NpPC.

Unit cell a=3.8469 b=3.8313 c=7.7781 alpha=78.94 beta=90.00 gamma=120.14
Last column: magnetic moment on the atom in μB.
Element x y z (fractional)
C  0.1381  0.2763  0.1132  -0.13
C  0.8619  0.7237  0.8868  -0.13
P  0.3818  0.7635  0.4269  -0.01
P  0.6182  0.2365  0.5731  -0.01
Np  0.2170  0.4341  0.8133  2.21
Np  0.7830  0.5659  0.1867  2.21

Results
ΔE to the lowest computed polymorph, eV/atom: 0.000
Formation energy from the elements, eV per atom: 0.0761



[2]
VASP calculation (GGA-PBE) on an optimized crystal structure of Ti4CrBi.

Unit cell a=5.1208 b=6.4363 c=7.8264 alpha=114.28 beta=109.08 gamma=90.00
Element x y z (fractional)
Ti  0.8336  0.3335  0.6669
Ti  0.6124  0.3504  0.2251
Ti  0.0000  0.1942  0.0000
Ti  0.3876  0.1253  0.7749
Ti  0.1664  0.6665  0.3331
Ti  0.3876  0.6496  0.7749
Ti  0.0000  0.8058  0.0000
Ti  0.6124  0.8747  0.2251
Cr  0.7416  0.5000  0.9999
Cr  0.2584  0.5000  0.0001
Bi  0.2001  0.2001  0.4002
Bi  0.7999  0.7999  0.5998

Results
Formation energy from the elements, eV per atom: -0.0211



[3]
VASP calculation (GGA-PBE) on an optimized crystal structure of Na2HgBi2.

Unit cell a=5.0770 b=6.3891 c=10.9036 alpha=80.43 beta=76.54 gamma=66.59
Element x y z (fractional)
Na  0.3295  0.2383  0.1026
Na  0.4995  0.3178  0.6831
Na  0.6705  0.7617  0.8974
Na  0.5005  0.6822  0.3169
Hg  0.7780  0.1308  0.3133
Hg  0.2220  0.8692  0.6867
Bi  0.9627  0.1856  0.8889
Bi  0.1476  0.2566  0.4482
Bi  0.0373  0.8144  0.1111
Bi  0.8524  0.7434  0.5518

Results
ΔE to the lowest computed polymorph, eV/atom: 0.005
Formation energy from the elements, eV per atom: -0.2106



[4]
VASP calculation (GGA-PBE) on an optimized crystal structure of InHgW2.

Unit cell a=4.6737 b=4.6737 c=4.6737 alpha=60.00 beta=60.00 gamma=60.00
Element x y z (fractional)
Hg  0.5000  0.5000  0.5000
W  0.2500  0.2500  0.2500
W  0.7500  0.7500  0.7500
In  0.0000  0.0000  0.0000

Results
ΔE to the lowest computed polymorph, eV/atom: 0.596
Formation energy from the elements, eV per atom: 1.0902



[5]
VASP calculation (GGA-PBE) on an optimized crystal structure of TmTh2Ti.

Unit cell a=3.3516 b=3.3516 c=11.8846 alpha=81.89 beta=81.89 gamma=60.00
Element x y z (fractional)
Tm  0.5000  0.5000  0.5000
Th  0.0812  0.0812  0.7563
Th  0.9188  0.9188  0.2437
Ti  0.0000  0.0000  0.0000

Results
ΔE to the lowest computed polymorph, eV/atom: 0.301
Formation energy from the elements, eV per atom: 0.4257



[6]
VASP calculation (GGA-PBE) on an optimized crystal structure of GaAsIrN2.

Unit cell a=3.7021 b=5.2147 c=3.7021 alpha=90.00 beta=90.00 gamma=90.00
Last column: magnetic moment on the atom in μB.
Element x y z (fractional)
As  0.0000  0.0000  0.0000  -0.03
Ir  0.0000  0.5000  0.0000  0.23
Ga  0.5000  0.5000  0.5000  0.00
N  0.0000  0.0000  0.5000  0.36
N  0.5000  0.0000  0.0000  0.37

Results
E_form (uncorrected), eV per atom: 1.359



[7]
VASP calculation (GGA-PBE) on an optimized crystal structure of CeTh2PN5.

Unit cell a=5.6448 b=6.7314 c=6.7314 alpha=90.00 beta=90.00 gamma=90.00
Last column: magnetic moment on the atom in μB.
Element x y z (fractional)
Ce  0.0000  0.5000  0.5000  0.88
Ce  0.0000  0.0000  0.0000  0.88
Th  0.5000  0.6788  0.1788  0.02
Th  0.5000  0.1788  0.3212  0.02
Th  0.5000  0.8212  0.6788  0.02
Th  0.5000  0.3212  0.8212  0.02
P  0.0000  0.0000  0.5000  0.03
P  0.0000  0.5000  0.0000  0.03
N  0.5000  0.5000  0.5000  0.01
N  0.5000  0.0000  0.0000  0.01
N  0.2203  0.1318  0.6318  0.01
N  0.2203  0.8682  0.3682  0.01
N  0.2203  0.3682  0.1318  0.01
N  0.2203  0.6318  0.8682  0.01
N  0.7797  0.1318  0.6318  0.01
N  0.7797  0.6318  0.8682  0.01
N  0.7797  0.8682  0.3682  0.01
N  0.7797  0.3682  0.1318  0.01

Results
E_form (uncorrected), eV per atom: -1.046



[8]
VASP calculation (GGA-PBE) on an optimized crystal structure of Pr4Te2AsI.

Unit cell a=4.4328 b=7.9199 c=7.7408 alpha=108.76 beta=90.00 gamma=90.00
Element x y z (fractional)
Pr  0.5000  0.2167  0.2271
Pr  0.5000  0.7833  0.7729
Pr  0.0000  0.2185  0.7555
Pr  0.0000  0.7815  0.2445
Te  0.5000  0.0000  0.5000
Te  0.0000  0.5000  0.5000
As  0.0000  0.0000  0.0000
I  0.5000  0.5000  0.0000

Results
E_form (uncorrected), eV per atom: -1.333



| no. | ρ (g cm⁻³) | magnetization (μB/atom) | DOS at the Fermi energy (states/eV/atom) |
| --- | --- | --- | --- |
| 1 | 9.62 | 0.728 | 1.7707 |
| 2 | 6.85 | 0.000 | 0.8868 |
| 3 | 7.02 | 0.000 | 0.2670 |
| 4 | 15.71 | 0.000 | 1.2029 |
| 5 | 9.91 | 0.002 | 1.4912 |
| 6 | 8.48 | 0.235 | 0.9769 |
| 7 | 9.16 | 0.135 | 0.7173 |
| 8 | 6.59 | 0.000 | 0.5065 |